GGA-PBE YZn3GaAg, optimized geometry; DOS at the Fermi energy = 5.35 states/eV/cell; formation energy = -0.115 eV per atom; energy = -2.81 eV per atom
1.0
3.031 -6.596 0.000
3.031 6.596 0.000
0.000 0.000 5.770
Y Zn Ga Ag
2 6 2 2
Cartesian
3.031 4.137 4.328
3.031 -4.137 1.443
1.247 0.000 0.000
1.247 0.000 2.885
3.031 1.647 1.443
3.031 -1.647 4.328
4.814 0.000 0.000
4.814 0.000 2.885
3.031 4.528 1.443
3.031 -4.528 4.328
3.031 1.314 4.328
3.031 -1.314 1.443